CaTc2GeOs: relaxed, GGA-PBE.

abc: 4.4384 4.4384 4.8231
angles: 90.00 90.00 90.00
With the nearest neighbours (Å) after each atom.
Space group P4/mmm (No. 123)
Symmetry-distinct sites (fractional):
Ca (0.0000, 0.0000, 0.0000) (multiplicity 1)  4 Tc 2.22, 2 Ge 2.41
Tc (0.0000, 0.5000, 0.0000) (multiplicity 2)  2 Ca 2.22
Ge (0.0000, 0.0000, 0.5000) (multiplicity 1)  2 Ca 2.41
Os (0.5000, 0.5000, 0.5000) (multiplicity 1)  4 Ge 3.14, 8 Tc 3.28

Values from the calculation:
E_tot = -4.9810 eV/atom
magnetic moment = 0.00 μB/f.u.